Entry 1:
# UPbS4 (GGA-PBE, optimized geometry)
data_UPbS4
_space_group_name_H-M_alt 'P 1'
_space_group_IT_number 1
_space_group_name_Hall 'P 1'
_cell_length_a 4.064
_cell_length_b 6.290
_cell_length_c 7.171
_cell_angle_alpha 93.44
_cell_angle_beta 90.00
_cell_angle_gamma 90.00
loop_
_atom_site_label
_atom_site_type_symbol
_atom_site_fract_x
_atom_site_fract_y
_atom_site_fract_z
_atom_site_occupancy
S1 S 0.000 0.227 0.294 1
S2 S 0.500 0.217 0.878 1
S3 S 0.000 0.773 0.706 1
S4 S 0.500 0.783 0.122 1
Pb1 Pb 0.500 0.000 0.500 1
U1 U 0.000 0.000 0.000 1
# - SG = P2/m (10)
# - calculated volume (Å³/cell) = 183.0
# - magnetic moment (μB/atom) = 0.000
# - raw formation energy (eV/atom) = -0.882
# - polymorph energy (0 for the lowest one) (eV/atom) = 0.000

Entry 2:
# U2PbS6 (GGA-PBE, optimized geometry)
data_U2PbS6
_space_group_name_H-M_alt 'P 1'
_space_group_IT_number 1
_space_group_name_Hall 'P 1'
_cell_length_a 6.363
_cell_length_b 6.363
_cell_length_c 12.328
_cell_angle_alpha 90.00
_cell_angle_beta 90.00
_cell_angle_gamma 90.00
loop_
_atom_site_label
_atom_site_type_symbol
_atom_site_fract_x
_atom_site_fract_y
_atom_site_fract_z
_atom_site_occupancy
U1 U 0.500 0.500 0.668 1
U2 U 0.500 0.500 0.332 1
U3 U 0.000 0.000 0.168 1
U4 U 0.000 0.000 0.832 1
S1 S 0.294 0.294 0.816 1
S2 S 0.206 0.794 0.684 1
S3 S 0.178 0.822 0.000 1
S4 S 0.678 0.678 0.500 1
S5 S 0.294 0.294 0.184 1
S6 S 0.322 0.322 0.500 1
S7 S 0.794 0.206 0.684 1
S8 S 0.794 0.206 0.316 1
S9 S 0.822 0.178 0.000 1
S10 S 0.206 0.794 0.316 1
S11 S 0.706 0.706 0.816 1
S12 S 0.706 0.706 0.184 1
Pb1 Pb 0.000 0.000 0.500 1
Pb2 Pb 0.500 0.500 0.000 1
# - SG = P4_2/mnm (136)
# - calculated volume (Å³/cell) = 499.1
# - magnetic moment (μB/atom) = 0.222
# - raw formation energy (eV/atom) = -1.007
# - polymorph energy (0 for the lowest one) (eV/atom) = 0.000

Entry 3:
# UPbS3 (GGA-PBE, optimized geometry)
data_UPbS3
_space_group_name_H-M_alt 'P 1'
_space_group_IT_number 1
_space_group_name_Hall 'P 1'
_cell_length_a 5.196
_cell_length_b 7.091
_cell_length_c 8.416
_cell_angle_alpha 99.59
_cell_angle_beta 90.00
_cell_angle_gamma 111.49
loop_
_atom_site_label
_atom_site_type_symbol
_atom_site_fract_x
_atom_site_fract_y
_atom_site_fract_z
_atom_site_occupancy
U1 U 0.866 0.732 0.085 1
U2 U 0.134 0.268 0.915 1
S1 S 0.170 0.341 0.609 1
S2 S 0.068 0.137 0.199 1
S3 S 0.830 0.659 0.391 1
S4 S 0.932 0.863 0.801 1
S5 S 0.336 0.673 0.057 1
S6 S 0.664 0.327 0.943 1
Pb1 Pb 0.372 0.744 0.607 1
Pb2 Pb 0.628 0.256 0.393 1
# - SG = C2/m (12)
# - calculated volume (Å³/cell) = 283.9
# - magnetic moment (μB/atom) = 0.400
# - raw formation energy (eV/atom) = -0.959

Entry 4:
# UPbS3 (GGA-PBE, optimized geometry)
data_UPbS3
_space_group_name_H-M_alt 'P 1'
_space_group_IT_number 1
_space_group_name_Hall 'P 1'
_cell_length_a 5.666
_cell_length_b 9.572
_cell_length_c 9.572
_cell_angle_alpha 109.94
_cell_angle_beta 90.00
_cell_angle_gamma 90.00
loop_
_atom_site_label
_atom_site_type_symbol
_atom_site_fract_x
_atom_site_fract_y
_atom_site_fract_z
_atom_site_occupancy
U1 U 0.250 0.109 0.391 1
U2 U 0.750 0.891 0.609 1
U3 U 0.250 0.609 0.891 1
U4 U 0.750 0.391 0.109 1
S1 S 0.000 0.320 0.320 1
S2 S 0.243 0.836 0.164 1
S3 S 0.757 0.164 0.836 1
S4 S 0.257 0.336 0.664 1
S5 S 0.750 0.064 0.436 1
S6 S 0.500 0.820 0.820 1
S7 S 0.500 0.180 0.180 1
S8 S 0.750 0.564 0.936 1
S9 S 0.743 0.664 0.336 1
S10 S 0.000 0.680 0.680 1
S11 S 0.250 0.936 0.564 1
S12 S 0.250 0.436 0.064 1
Pb1 Pb 0.216 0.610 0.390 1
Pb2 Pb 0.716 0.890 0.110 1
Pb3 Pb 0.284 0.110 0.890 1
Pb4 Pb 0.784 0.390 0.610 1
# - SG = Cmce (64)
# - calculated volume (Å³/cell) = 488.0
# - magnetic moment (μB/atom) = 0.400
# - raw formation energy (eV/atom) = -0.940

Entry 5:
# U4PbS12 (GGA-PBE, optimized geometry)
data_U4PbS12
_space_group_name_H-M_alt 'P 1'
_space_group_IT_number 1
_space_group_name_Hall 'P 1'
_cell_length_a 8.453
_cell_length_b 8.453
_cell_length_c 8.453
_cell_angle_alpha 109.47
_cell_angle_beta 109.47
_cell_angle_gamma 109.47
loop_
_atom_site_label
_atom_site_type_symbol
_atom_site_fract_x
_atom_site_fract_y
_atom_site_fract_z
_atom_site_occupancy
S1 S 0.525 0.821 0.704 1
S2 S 0.296 0.475 0.179 1
S3 S 0.179 0.704 0.883 1
S4 S 0.883 0.179 0.704 1
S5 S 0.296 0.117 0.821 1
S6 S 0.179 0.296 0.475 1
S7 S 0.821 0.296 0.117 1
S8 S 0.821 0.704 0.525 1
S9 S 0.475 0.179 0.296 1
S10 S 0.704 0.883 0.179 1
S11 S 0.117 0.821 0.296 1
S12 S 0.704 0.525 0.821 1
U1 U 0.500 0.500 0.500 1
U2 U 0.000 0.500 0.000 1
U3 U 0.000 0.000 0.500 1
U4 U 0.500 0.000 0.000 1
Pb1 Pb 0.000 0.000 0.000 1
# - SG = Im-3 (204)
# - calculated volume (Å³/cell) = 465.0
# - magnetic moment (μB/atom) = 0.121
# - raw formation energy (eV/atom) = -0.955

Entry 6:
# U4PbS8 (GGA-PBE, optimized geometry)
data_U4PbS8
_space_group_name_H-M_alt 'P 1'
_space_group_IT_number 1
_space_group_name_Hall 'P 1'
_cell_length_a 8.161
_cell_length_b 8.161
_cell_length_c 8.161
_cell_angle_alpha 60.00
_cell_angle_beta 60.00
_cell_angle_gamma 60.00
loop_
_atom_site_label
_atom_site_type_symbol
_atom_site_fract_x
_atom_site_fract_y
_atom_site_fract_z
_atom_site_occupancy
S1 S 0.138 0.586 0.138 1
S2 S 0.170 0.610 0.610 1
S3 S 0.610 0.610 0.610 1
S4 S 0.138 0.138 0.586 1
S5 S 0.610 0.170 0.610 1
S6 S 0.586 0.138 0.138 1
S7 S 0.610 0.610 0.170 1
S8 S 0.138 0.138 0.138 1
U1 U 0.884 0.372 0.372 1
U2 U 0.372 0.372 0.372 1
U3 U 0.372 0.372 0.884 1
U4 U 0.372 0.884 0.372 1
Pb1 Pb 0.750 0.750 0.750 1
# - SG = F-43m (216)
# - calculated volume (Å³/cell) = 384.4
# - magnetic moment (μB/atom) = 0.769
# - raw formation energy (eV/atom) = -1.206
# - polymorph energy (0 for the lowest one) (eV/atom) = 0.000